Record 1
This record from the Open Quantum Materials Database describes a relaxed structure of MgTePtO. The functional is GGA-PBE.

Computed properties:
**Final energy**: -4.67 eV/atom
**Calculated volume**: 19.41 Å³/atom
**Space-group type**: P4/nmm
**Theoretical density**: 7.77 g cm⁻³

```
MgTePtO
1.0
3.6052 0.0000 0.0000
0.0000 3.6052 0.0000
0.0000 0.0000 11.9444
Mg Te Pt O
2 2 2 2
direct
0.2500 0.2500 0.0794
0.7500 0.7500 0.9206
0.2500 0.2500 0.6747
0.7500 0.7500 0.3253
0.2500 0.7500 0.5000
0.7500 0.2500 0.5000
0.2500 0.2500 0.9171
0.7500 0.7500 0.0829
```

=====

Record 2
This record from the Open Quantum Materials Database describes a relaxed structure of Tm2Ge2O7. The functional is GGA-PBE.

Computed properties:
**Final energy**: -7.41 eV/atom
**Calculated volume**: 12.24 Å³/atom
**Space-group type**: P-1
**Theoretical density**: 7.34 g cm⁻³

```
Tm2Ge2O7
1.0
6.7347 0.0000 0.0000
-0.3370 6.7490 0.0000
-0.9864 -0.9568 11.8468
Tm Ge O
8 8 28
direct
0.0816 0.0869 0.3691
0.1692 0.6937 0.8729
0.2524 0.3673 0.6263
0.3341 0.0334 0.1163
0.6659 0.9666 0.8837
0.7476 0.6327 0.3737
0.8308 0.3063 0.1271
0.9184 0.9131 0.6309
0.1476 0.1757 0.8881
0.2407 0.5834 0.3758
0.3317 0.5092 0.1505
0.3853 0.8505 0.6106
0.6147 0.1495 0.3894
0.6683 0.4908 0.8495
0.7593 0.4166 0.6242
0.8524 0.8243 0.1119
0.0271 0.0020 0.1881
0.0619 0.7607 0.3780
0.1010 0.2405 0.0284
0.1341 0.4205 0.2309
0.1638 0.3816 0.4497
0.2137 0.7083 0.6839
0.2155 0.3770 0.8162
0.2254 0.0386 0.5679
0.2720 0.7018 0.0665
0.3390 0.0050 0.9152
0.3923 0.0693 0.3085
0.4363 0.6907 0.4937
0.4445 0.6290 0.2864
0.4905 0.3258 0.1143
0.5095 0.6742 0.8857
0.5555 0.3710 0.7136
0.5637 0.3093 0.5063
0.6077 0.9307 0.6915
0.6610 0.9950 0.0848
0.7280 0.2982 0.9335
0.7746 0.9614 0.4321
0.7845 0.6230 0.1838
0.7863 0.2917 0.3161
0.8362 0.6184 0.5503
0.8659 0.5795 0.7691
0.8990 0.7595 0.9716
0.9381 0.2393 0.6220
0.9729 0.9980 0.8119
```

=====

Record 3
This record from the Open Quantum Materials Database describes a relaxed structure of Zr2Zn. The functional is GGA-PBE.

Computed properties:
**Final energy**: -5.73 eV/atom
**Calculated volume**: 21.53 Å³/atom
**Formation enthalpy at 0 K**: 112 kJ/mol of formula units
**Space-group type**: Fd-3m
**Theoretical density**: 6.37 g cm⁻³

```
Zr2Zn
1.0
0.0000 4.0125 4.0125
4.0125 0.0000 4.0125
4.0125 4.0125 0.0000
Zr Zn
4 2
direct
0.0000 0.0000 0.0000
0.0000 0.0000 0.5000
0.0000 0.5000 0.0000
0.5000 0.0000 0.0000
0.3750 0.3750 0.3750
0.6250 0.6250 0.6250
```

=====

Record 4
This record from the Open Quantum Materials Database describes a relaxed structure of Gd2Dy2CI5. The functional is GGA-PBE.

Computed properties:
**Final energy**: -4.65 eV/atom
**Calculated volume**: 34.85 Å³/atom
**Space-group type**: C2/m
**Theoretical density**: 6.13 g cm⁻³

```
Gd2Dy2CI5
1.0
10.4128 -1.9917 0.0000
10.4128 1.9917 0.0000
-1.7485 0.0000 8.4024
Gd Dy C I
2 2 1 5
direct
0.1183 0.1183 0.0589
0.8817 0.8817 0.9411
0.4998 0.4998 0.1904
0.5002 0.5002 0.8096
0.0000 0.0000 0.0000
0.0000 0.0000 0.5000
0.3475 0.3475 0.1861
0.3489 0.3489 0.6632
0.6511 0.6511 0.3368
0.6525 0.6525 0.8139
```

=====

Record 5
This record from the Open Quantum Materials Database describes a relaxed structure of DyAl2Pt2. The functional is GGA-PBE.

Computed properties:
**Final energy**: -5.97 eV/atom
**Calculated volume**: 18.69 Å³/atom
**Space-group type**: I4/mmm
**Theoretical density**: 10.78 g cm⁻³

```
DyAl2Pt2
1.0
-2.0070 2.0070 5.7992
2.0070 -2.0070 5.7992
2.0070 2.0070 -5.7992
Dy Al Pt
1 2 2
direct
0.0000 0.0000 0.0000
0.2500 0.7500 0.5000
0.7500 0.2500 0.5000
0.3827 0.3827 0.0000
0.6173 0.6173 0.0000
```

=====

Record 6
This record from the Open Quantum Materials Database describes a relaxed structure of ZrGaAsO. The functional is GGA-PBE.

Computed properties:
**Final energy**: -5.89 eV/atom
**Calculated volume**: 17.36 Å³/atom
**Space-group type**: P4/nmm
**Theoretical density**: 6.02 g cm⁻³

```
ZrGaAsO
1.0
4.2403 0.0000 0.0000
0.0000 4.2403 0.0000
0.0000 0.0000 7.7256
Zr Ga As O
2 2 2 2
direct
0.2500 0.7500 0.0000
0.7500 0.2500 0.0000
0.2500 0.2500 0.4220
0.7500 0.7500 0.5780
0.2500 0.2500 0.7918
0.7500 0.7500 0.2082
0.2500 0.7500 0.5000
0.7500 0.2500 0.5000
```

=====

Record 7
This record from the Open Quantum Materials Database describes a relaxed structure of Co7Re5. The functional is GGA-PBE.

Computed properties:
**Final energy**: -8.96 eV/atom
**Calculated volume**: 13.00 Å³/atom
**Formation enthalpy at 0 K**: 416 kJ/mol of formula units
**Space-group type**: P6_3/mmc
**Theoretical density**: 14.30 g cm⁻³

```
Co7Re5
1.0
4.8944 0.0000 0.0000
-2.4472 4.2387 0.0000
0.0000 0.0000 15.0381
Co Re
14 10
direct
0.0000 0.0000 0.0904
0.0000 0.0000 0.4096
0.0000 0.0000 0.5904
0.0000 0.0000 0.9096
0.1553 0.3106 0.2500
0.1553 0.8447 0.2500
0.3106 0.1553 0.7500
0.3333 0.6667 0.1355
0.3333 0.6667 0.3645
0.6667 0.3333 0.6355
0.6667 0.3333 0.8645
0.6894 0.8447 0.2500
0.8447 0.1553 0.7500
0.8447 0.6894 0.7500
0.0000 0.5000 0.0000
0.0000 0.5000 0.5000
0.3333 0.6667 0.6638
0.3333 0.6667 0.8362
0.5000 0.0000 0.0000
0.5000 0.0000 0.5000
0.5000 0.5000 0.0000
0.5000 0.5000 0.5000
0.6667 0.3333 0.1638
0.6667 0.3333 0.3362
```

=====

Record 8
This record from the Open Quantum Materials Database describes a relaxed structure of PmP2. The functional is GGA-PBE.

Computed properties:
**Final energy**: -4.43 eV/atom
**Calculated volume**: 88.85 Å³/atom
**Space-group type**: Fd-3m
**Theoretical density**: 1.29 g cm⁻³

```
PmP2
1.0
0.0000 6.4358 6.4358
6.4358 0.0000 6.4358
6.4358 6.4358 0.0000
Pm P
2 4
direct
0.1250 0.1250 0.1250
0.8750 0.8750 0.8750
0.0000 0.0000 0.0000
0.0000 0.0000 0.5000
0.0000 0.5000 0.0000
0.5000 0.0000 0.0000
```